1.
Er3BiPN (GGA-PBE, optimized geometry); DOS at the Fermi energy = 1.0 states/eV/f.u.; VASP energy = -77.6 eV for the cell shown; M_tot = 0.000 Bohr magnetons per cell
1.0
8.7476 0.0000 0.0000
0.0000 4.0101 0.0000
-2.0642 0.0000 8.9222
Er Bi P N
6 2 2 2
Cartesian
-0.1254 1.0025 3.1550
0.9938 1.0025 8.7726
1.9135 3.0076 5.9158
4.7699 1.0025 3.0063
5.6896 3.0076 0.1496
6.8088 3.0076 5.7672
2.2013 3.0076 2.5224
4.4820 1.0025 6.3998
-0.0440 1.0025 5.8644
6.7274 3.0076 3.0578
1.7090 3.0076 8.0210
4.9744 1.0025 0.9012

=====

2.
Er3BiSN (GGA-PBE, optimized geometry); DOS at the Fermi energy = 2.5 states/eV/f.u.; VASP energy = -76.3 eV for the cell shown; M_tot = 0.000 Bohr magnetons per cell
1.0
8.4222 0.0000 0.0000
0.0000 4.0425 0.0000
-2.0125 0.0000 8.8150
Er Bi S N
6 2 2 2
Cartesian
-0.1129 1.0106 3.0677
0.8931 1.0106 8.6608
1.9246 3.0319 5.7967
4.4850 1.0106 3.0183
5.5166 3.0319 0.1542
6.5226 3.0319 5.7473
2.0923 3.0319 2.4667
4.3174 1.0106 6.3482
-0.0187 1.0106 5.7404
6.4283 3.0319 3.0746
1.5794 3.0319 7.9093
4.8303 1.0106 0.9056

=====

3.
Tb2ErBi2N2 (GGA-PBE, optimized geometry); DOS at the Fermi energy = 3.6 states/eV/f.u.; VASP energy = -44.4 eV for the cell shown; M_tot = 0.000 Bohr magnetons per cell
1.0
-2.2297 2.2297 7.9162
2.2297 -2.2297 7.9162
2.2297 2.2297 -7.9162
Tb Er Bi N
2 1 2 2
Cartesian
0.0000 0.0000 1.4504
0.0000 0.0000 14.3821
0.0000 0.0000 7.9162
0.0000 0.0000 4.5508
0.0000 0.0000 11.2817
2.2297 0.0000 0.0000
0.0000 2.2297 0.0000

=====

4.
ErThBi2N (GGA-PBE, optimized geometry); DOS at the Fermi energy = 3.5 states/eV/f.u.; VASP energy = -65.1 eV for the cell shown; M_tot = 0.000 Bohr magnetons per cell
1.0
4.2089 0.0000 0.0000
0.0000 4.2089 0.0000
0.0000 0.0000 15.1119
Er Th Bi N
2 2 4 2
Cartesian
1.0522 1.0522 1.0180
3.1567 3.1567 14.0939
1.0522 1.0522 8.6483
3.1567 3.1567 6.4636
1.0522 1.0522 4.1725
1.0522 1.0522 12.9489
3.1567 3.1567 2.1630
3.1567 3.1567 10.9394
1.0522 3.1567 7.5559
3.1567 1.0522 7.5559